## BaCdPb2 (GGA-PBE)

Data for a relaxed BaCdPb2 crystal.

Values from the calculation:
- Formation enthalpy at 0 K: -0.952 eV per formula unit
- Electronic total energy: -11.21 eV per formula unit
- Symmetry: Cmmm
- Theoretical density: 8.2 g/cm3

```
BaCdPb2
1.0
3.6112 0.0000 0.0000
0.0000 6.3911 -0.6707
0.0000 -2.1629 6.0513
Ba Cd Pb
1 1 2
Cartesian
0.0000 5.9217 -0.3018
1.8056 1.6431 3.0605
1.8056 4.8382 2.7239
1.8056 2.7256 0.0356
```

## CaSc2Ir (GGA-PBE)

Data for a relaxed CaSc2Ir crystal.

Values from the calculation:
- Formation enthalpy at 0 K: -1.317 eV per formula unit
- Electronic total energy: -24.84 eV per formula unit
- Symmetry: R-3m
- Theoretical density: 4.7 g/cm3

```
CaSc2Ir
1.0
-8.3091 -1.7578 1.2762
-6.5357 -5.2801 1.7788
-6.6315 -2.6587 4.7660
Ca Sc Ir
1 2 1
Cartesian
-5.3691 -2.4241 1.9552
-10.0185 -4.5234 3.6484
-0.7196 -0.3249 0.2621
-16.1072 -7.2724 5.8657
```

## LaRuRh2 (GGA-PBE)

Data for a relaxed LaRuRh2 crystal.

Values from the calculation:
- Formation enthalpy at 0 K: -0.103 eV per formula unit
- Electronic total energy: -29.01 eV per formula unit
- Symmetry: Cm
- Theoretical density: 10.3 g/cm3

```
LaRuRh2
1.0
-0.6679 -4.5206 -1.9281
1.8758 -3.4287 -3.0537
2.7227 -2.8752 3.3637
La Ru Rh
1 1 2
Cartesian
0.9443 -2.6510 -0.4377
2.1394 -5.5208 -0.5209
2.8659 -8.0561 -1.3386
2.6690 -2.8840 3.2338
```

## Tm3GePt12 (GGA-PBE)

Data for a relaxed Tm3GePt12 crystal.

Values from the calculation:
- Formation enthalpy at 0 K: -14.052 eV per formula unit
- Electronic total energy: -104.57 eV per formula unit
- Symmetry: P4/mmm
- Theoretical density: 18.1 g/cm3

```
Tm3GePt12
1.0
4.0743 0.0000 0.0000
0.0000 4.0743 0.0000
0.0000 0.0000 16.1501
Pt Tm Ge
12 3 1
Cartesian
2.0372 2.0372 12.2058
2.0372 0.0000 10.1295
2.0372 2.0372 8.0750
0.0000 2.0372 1.9010
0.0000 2.0372 6.0205
2.0372 0.0000 1.9010
2.0372 2.0372 3.9443
0.0000 2.0372 14.2491
2.0372 0.0000 14.2491
2.0372 2.0372 0.0000
0.0000 2.0372 10.1295
2.0372 0.0000 6.0205
0.0000 0.0000 8.0750
0.0000 0.0000 3.9957
0.0000 0.0000 12.1543
0.0000 0.0000 0.0000
```

## PrHoLu4 (GGA-PBE)

Data for a relaxed PrHoLu4 crystal.

Values from the calculation:
- Formation enthalpy at 0 K: 1.706 eV per formula unit
- Electronic total energy: -25.73 eV per formula unit
- Symmetry: F-43m
- Theoretical density: 8.5 g/cm3

```
PrHoLu4
1.0
6.5324 0.0000 0.0000
3.2662 5.6572 0.0000
3.2662 1.8857 5.3336
Lu Pr Ho
4 1 1
Cartesian
6.5324 1.8793 3.3358
4.8937 4.7176 3.3358
6.5324 3.7715 0.6598
8.1711 4.7176 3.3358
3.2662 1.8857 1.3334
0.0000 0.0000 0.0000
```

## Tb19Nd4Tm6 (GGA-PBE)

Data for a relaxed Tb19Nd4Tm6 crystal.

Values from the calculation:
- Formation enthalpy at 0 K: 11.400 eV per formula unit
- Electronic total energy: -122.48 eV per formula unit
- Symmetry: I23
- Theoretical density: 7.8 g/cm3

```
Tb19Nd4Tm6
1.0
10.2048 0.0000 -3.6079
-5.1024 8.8376 -3.6079
0.0000 0.0000 10.8238
Tb Tm Nd
19 6 4
Cartesian
0.0000 0.0000 0.0000
-3.9442 7.0296 0.7580
3.4875 5.8425 0.1304
3.7575 6.5081 -5.3138
4.5024 1.8080 -0.3633
-0.6572 6.9306 6.6908
3.4013 0.0990 7.3462
2.6899 0.0000 1.9020
-3.7574 6.5081 5.3138
8.4184 2.8961 3.7383
0.9867 1.9071 4.3660
1.3450 2.3295 -1.9020
-1.3449 2.3295 1.9020
2.9575 8.7386 -2.8499
1.2283 5.9415 3.0829
-0.5710 4.8032 -0.5251
7.5149 0.0000 5.3138
4.4170 4.0345 3.2446
6.3878 2.9951 -3.9713
7.0138 3.3107 0.9047
3.8307 4.4188 -2.7032
-1.9114 5.5269 2.7032
1.2717 4.4188 6.3111
0.6398 7.7295 -0.9047
4.4626 1.1081 4.5127
6.5377 0.0000 -2.3114
1.8336 3.1758 1.2965
-3.2688 5.6618 -2.3114
0.0000 0.0000 6.9342
```

## Ba2PrPbSe4 (GGA-PBE)

Data for a relaxed Ba2PrPbSe4 crystal.

Values from the calculation:
- Electronic total energy: -38.93 eV per formula unit
- Symmetry: P2/m
- Theoretical density: 6.0 g/cm3

```
Ba2PrPbSe4
1.0
-2.4464 -3.1305 2.0776
5.7176 -0.9889 5.2424
-4.9238 5.5497 2.5644
Ba Se Pr Pb
2 4 1 1
Cartesian
0.3969 2.2804 3.9034
-3.6851 1.2096 2.3210
3.1063 0.5224 4.4448
-0.9237 -0.5459 2.9274
-0.7289 1.9762 6.9571
-2.3126 4.0384 3.3620
1.6356 -2.0597 3.6600
0.0000 0.0000 0.0000
```